The following is a GGA-PBE calculation of DyNpSn after structural relaxation, from OQMD.

```
DyNpSn
1.0
0.000 3.593 3.593
3.593 0.000 3.593
3.593 3.593 0.000
Dy Np Sn
1 1 1
direct
0.000 0.000 0.000 Dy
0.750 0.750 0.750 Np
0.250 0.250 0.250 Sn
```

Results
As for the total moment: 5.9 μB per formula unit. The total energy comes out at -6.643 eV per atom. The volume is 93 Å³ per cell.